P) VASP calculation (GGA-PBE) on a relaxed MgP2OF crystal.

Cell: 3.942 3.942 4.844 Å, 90.00 90.00 90.00°
Space group P4/mmm (No. 123)
One atom of each set of equivalent atoms:
Mg: 0.000 0.000 0.000 x1
P: 0.000 0.500 0.500 x2
O: 0.500 0.500 0.000 x1
F: 0.500 0.500 0.500 x1

Values from the calculation:
Crystal system: tetragonal

Q) VASP calculation (GGA-PBE) on a relaxed MgP2OF crystal.

Cell: 4.868 4.868 3.698 Å, 90.00 90.00 90.00°
Space group P4/mmm (No. 123)
One atom of each set of equivalent atoms:
Mg: 0.000 0.000 0.000 x1
P: 0.000 0.500 0.000 x2
O: 0.000 0.000 0.500 x1
F: 0.500 0.500 0.500 x1

Values from the calculation:
Crystal system: tetragonal

Relative energies, unit kJ/mol of atoms: P) 0.0; Q) 7.2

P) VASP calculation (GGA-PBE) on a relaxed MgPbOF2 crystal.

Cell: 3.966 3.966 4.310 Å, 90.00 90.00 90.00°
Space group P4/mmm (No. 123)
One atom of each set of equivalent atoms:
Mg: 0.000 0.000 0.000 x1
Pb: 0.500 0.500 0.500 x1
O: 0.000 0.000 0.500 x1
F: 0.000 0.500 0.000 x2

Values from the calculation:
Crystal system: tetragonal

Q) VASP calculation (GGA-PBE) on a relaxed MgPbOF2 crystal.

Cell: 4.600 4.600 4.473 Å, 90.00 90.00 90.00°
Space group P4/mmm (No. 123)
One atom of each set of equivalent atoms:
Mg: 0.000 0.000 0.000 x1
Pb: 0.500 0.500 0.500 x1
O: 0.500 0.500 0.000 x1
F: 0.000 0.500 0.500 x2

Values from the calculation:
Crystal system: tetragonal

Relative energies, unit kJ/mol of atoms: P) 0.0; Q) 106.7

P) VASP calculation (GGA-PBE) on a relaxed MgPdOF2 crystal.

Cell: 4.178 4.178 4.090 Å, 90.00 90.00 90.00°
Space group P4/mmm (No. 123)
One atom of each set of equivalent atoms:
Mg: 0.000 0.000 0.000 x1
Pd: 0.500 0.500 0.500 x1
O: 0.500 0.500 0.000 x1
F: 0.000 0.500 0.500 x2

Values from the calculation:
Crystal system: tetragonal

Q) VASP calculation (GGA-PBE) on a relaxed MgPdOF2 crystal.

Cell: 3.717 3.717 4.356 Å, 90.00 90.00 90.00°
Space group P4/mmm (No. 123)
One atom of each set of equivalent atoms:
Mg: 0.000 0.000 0.000 x1
Pd: 0.500 0.500 0.500 x1
O: 0.000 0.000 0.500 x1
F: 0.000 0.500 0.000 x2

Values from the calculation:
Crystal system: tetragonal

Relative energies, unit kJ/mol of atoms: P) 47.5; Q) 0.0